Below is crystalline Pm7SbSe5 at its relaxed geometry, with properties calculated at the PBE level.

Cell: 7.190 7.190 24.924 Å, 90.02 90.02 33.92°
Positions (direct):
Pm: 0.023 0.023 0.250
Pm: 0.138 0.138 0.537
Pm: 0.138 0.138 0.963
Pm: 0.312 0.312 0.323
Pm: 0.313 0.313 0.178
Pm: 0.407 0.407 0.616
Pm: 0.407 0.407 0.884
Pm: 0.593 0.593 0.116
Pm: 0.593 0.593 0.384
Pm: 0.687 0.687 0.822
Pm: 0.688 0.688 0.677
Pm: 0.862 0.862 0.037
Pm: 0.862 0.862 0.463
Pm: 0.977 0.977 0.750
Sb: 0.309 0.309 0.750
Sb: 0.691 0.691 0.250
Se: 0.050 0.050 0.642
Se: 0.050 0.050 0.858
Se: 0.223 0.223 0.429
Se: 0.224 0.224 0.071
Se: 0.500 0.500 0.000
Se: 0.500 0.500 0.500
Se: 0.776 0.776 0.929
Se: 0.777 0.777 0.571
Se: 0.950 0.950 0.142
Se: 0.950 0.950 0.358

As for the symmetry: C2/m, No. 12. Its electronic total energy is -5.81 eV per atom.